This record from Alexandria describes an optimized crystal structure of PaZnGe. The functional is GGA-PBE.

abc: 4.0241 4.1813 4.1813
angles: 120.00 90.00 90.00
Site moments in Bohr magnetons follow the coordinates.
Positions (direct):
Ge1 0.1680 0.0000 0.0000  -0.01
Pa1 0.6670 0.3333 0.6667  0.53
Zn1 0.1650 0.6667 0.3333  0.01

Values from the calculation:
SG = P3m1 (156)
DFT total energy = -16.2 eV for the cell shown

This record from Alexandria describes an optimized crystal structure of ZrPa2Ge. The functional is GGA-PBE.

abc: 5.0863 5.0863 5.0868
angles: 60.00 60.00 60.00
Positions (direct):
Ge1 0.5000 0.5000 0.5000
Pa1 0.2500 0.2500 0.2500
Pa2 0.7500 0.7500 0.7500
Zr1 0.0000 0.0000 0.0000

Values from the calculation:
SG = Fm-3m (225)
Excess energy over the best structure of this formula in the dataset = 0.389 eV/atom

This record from Alexandria describes an optimized crystal structure of ZrPaGe2. The functional is GGA-PBE.

abc: 5.6970 5.6970 6.9547
angles: 114.18 114.18 90.00
Positions (direct):
Zr1 0.5000 0.5000 0.0000
Zr2 0.2500 0.7500 0.5000
Pa1 0.7500 0.2500 0.5000
Pa2 0.0000 0.0000 0.0000
Ge1 0.7462 0.7462 0.4923
Ge2 0.4962 0.9962 0.9923
Ge3 0.2538 0.2538 0.5077
Ge4 0.0038 0.5038 0.0077

Values from the calculation:
SG = I4_1/amd (141)
Excess energy over the best structure of this formula in the dataset = 0.000 eV/atom